1.
# NdNi2

A geometry-optimized NdNi2 structure (GGA-PBE, Alexandria).

The total magnetic moment comes out at 0.00 Bohr magnetons per cell. The mass density comes out at 8.3 g/cm³. The density of states at the Fermi level comes out at 2.187 states/eV/atom.

The space group is C2/m (No. 12) and the conventional cell measures 4.7571, 4.7553 and 5.2174 Å, with angles of 90.00, 116.93 and 90.00 degrees. The inequivalent atoms are Nd at (0.0000, 0.0000, 0.0000) and Ni at (0.2029, 0.5000, 0.4067).

---

2.
# NdNi4

A geometry-optimized NdNi4 structure (GGA-PBE, Alexandria).

The total magnetic moment comes out at 3.60 Bohr magnetons per cell. The mass density comes out at 8.3 g/cm³. The density of states at the Fermi level comes out at 1.559 states/eV/atom.

The space group is I-43m (No. 217) and the conventional cell measures 8.4501, 8.4501 and 8.4501 Å, with angles of 90.00, 90.00 and 90.00 degrees. The inequivalent atoms are Nd at (0.2248, 0.2248, 0.2248), Ni at (0.0000, 0.0000, 0.3539), Ni at (0.0000, 0.2500, 0.5000) and Ni at (0.0980, 0.0980, 0.9020).

---

3.
# Nd5Ni4

A geometry-optimized Nd5Ni4 structure (GGA-PBE, Alexandria).

The total magnetic moment comes out at 0.00 Bohr magnetons per cell. The mass density comes out at 7.4 g/cm³. The density of states at the Fermi level comes out at 0.931 states/eV/atom.

The space group is C2/m (No. 12) and the conventional cell measures 11.4263, 3.8546 and 10.2731 Å, with angles of 90.00, 109.31 and 90.00 degrees. The inequivalent atoms are Nd at (0.0000, 0.0000, 0.0000), Nd at (0.1050, 0.0000, 0.3948), Nd at (0.2279, 0.0000, 0.8193), Ni at (0.0366, 0.5000, 0.8177) and Ni at (0.0994, 0.5000, 0.6053).

---

4.
# Nd2Ni3

A geometry-optimized Nd2Ni3 structure (GGA-PBE, Alexandria).

The total magnetic moment comes out at 0.00 Bohr magnetons per cell. The mass density comes out at 7.7 g/cm³. The density of states at the Fermi level comes out at 0.992 states/eV/atom.

The space group is Cmcm (No. 63) and the conventional cell measures 3.9832, 24.7810 and 4.0551 Å, with angles of 90.00, 90.00 and 90.00 degrees. The inequivalent atoms are Nd at (0.0000, 0.0696, 0.2500), Nd at (0.0000, 0.2013, 0.7500), Ni at (0.0000, 0.3291, 0.7500), Ni at (0.0000, 0.3822, 0.2500) and Ni at (0.0000, 0.4763, 0.2500).

---

5.
# NdNi4

A geometry-optimized NdNi4 structure (GGA-PBE, Alexandria).

The total magnetic moment comes out at 0.00 Bohr magnetons per cell. The mass density comes out at 8.6 g/cm³. The density of states at the Fermi level comes out at 1.264 states/eV/atom.

The space group is C2/m (No. 12) and the conventional cell measures 8.4308, 4.1148 and 5.9654 Å, with angles of 90.00, 134.89 and 90.00 degrees. The inequivalent atoms are Nd at (0.0000, 0.0000, 0.0000), Ni at (0.0476, 0.5000, 0.7354) and Ni at (0.1879, 0.0000, 0.6399).

---

6.
# NdNpNi4

A geometry-optimized NdNpNi4 structure (GGA-PBE, Alexandria).

The total magnetic moment comes out at 15.41 Bohr magnetons per cell. The mass density comes out at 10.9 g/cm³. The density of states at the Fermi level comes out at 2.164 states/eV/atom.

The space group is F-43m (No. 216) and the conventional cell measures 7.2160, 7.2160 and 7.2160 Å, with angles of 90.00, 90.00 and 90.00 degrees. The inequivalent atoms are Nd at (0.0000, 0.0000, 0.0000), Np at (0.2500, 0.2500, 0.2500) and Ni at (0.1237, 0.1237, 0.6237).

---

7.
# NdNp2Ni9

A geometry-optimized NdNp2Ni9 structure (GGA-PBE, Alexandria).

The total magnetic moment comes out at 19.70 Bohr magnetons per cell. The mass density comes out at 11.1 g/cm³. The density of states at the Fermi level comes out at 1.950 states/eV/atom.

The space group is R-3m (No. 166, hexagonal axes) and the conventional cell measures 4.9362, 4.9362 and 24.4602 Å, with angles of 90.00, 90.00 and 120.00 degrees. The inequivalent atoms are Nd at (0.0000, 0.0000, 0.0000), Np at (0.0000, 0.0000, 0.1448), Ni at (0.0000, 0.0000, 0.3329), Ni at (0.0000, 0.0000, 0.5000) and Ni at (0.9997, 0.4999, 0.0833).

---

8.
# NdNpNi17

A geometry-optimized NdNpNi17 structure (GGA-PBE, Alexandria).

The total magnetic moment comes out at 10.10 Bohr magnetons per cell. The mass density comes out at 9.5 g/cm³. The density of states at the Fermi level comes out at 1.767 states/eV/atom.

The space group is R3m (No. 160, hexagonal axes) and the conventional cell measures 8.3069, 8.3069 and 12.0829 Å, with angles of 90.00, 90.00 and 120.00 degrees. The inequivalent atoms are Nd at (0.0000, 0.0000, 0.0000), Np at (0.0000, 0.0000, 0.6763), Ni at (0.0000, 0.0000, 0.2434), Ni at (0.0000, 0.0000, 0.4414), Ni at (0.9999, 0.4999, 0.8399), Ni at (0.0021, 0.2954, 0.3399), Ni at (0.0030, 0.5015, 0.1859) and Ni at (0.0034, 0.5017, 0.4928).

---

| no. | formation energy from the elements (eV per atom) |
| --- | --- |
| 1 | -0.02 |
| 2 | -0.12 |
| 3 | -0.26 |
| 4 | -0.32 |
| 5 | -0.02 |
| 6 | -0.15 |
| 7 | -0.22 |
| 8 | -0.11 |